Record 1
Here is a geometry-optimized CoNiW structure from Alexandria. Energies are from PBE.

Output
Energy relative to the lowest polymorph listed for this composition (eV/atom): 0.110
Crystal system: tetragonal
DFT formation energy (eV per atom): 0.080
Spin magnetization (Bohr magnetons per cell): 1.0
DOS(E_F) (states/eV per atom): 1.08
Space group: I4mm

Cell lengths 5.6494, 5.6494, 5.6494 Å; angles 152.77, 152.77, 38.89 degrees
Last column: nearest neighbours and their distance in Å.
Sites, in units of the cell vectors:
Co (0.0000, 0.0000, 0.0000)  4 Ni 2.51, 4 W 2.60, 4 Co 2.66
Ni (0.3445, 0.3445, 0.0000)  4 Co 2.51, 4 W 2.65, 4 Ni 2.66
W (0.6689, 0.6689, 0.0000)  4 Co 2.60, 4 Ni 2.65, 4 W 2.66

Record 2
Here is a geometry-optimized CoNi2W structure from Alexandria. Energies are from PBE.

Output
Energy relative to the lowest polymorph listed for this composition (eV/atom): 0.113
Crystal system: tetragonal
DFT formation energy (eV per atom): 0.036
Spin magnetization (Bohr magnetons per cell): 0.0
DOS(E_F) (states/eV per atom): 1.36
Space group: P4/mmm

Cell lengths 3.5584, 3.5584, 3.7679 Å; angles 90.00, 90.00, 90.00 degrees
Last column: nearest neighbours and their distance in Å.
Sites, in units of the cell vectors:
Co (0.0000, 0.0000, 0.0000)  4 W 2.52, 8 Ni 2.59
Ni (0.0000, 0.5000, 0.5000)  4 Ni 2.52, 4 W 2.59, 4 Co 2.59
Ni (0.5000, 0.0000, 0.5000)  4 Ni 2.52, 4 W 2.59, 4 Co 2.59
W (0.5000, 0.5000, 0.0000)  4 Co 2.52, 8 Ni 2.59

Record 3
Here is a geometry-optimized CoNi4W structure from Alexandria. Energies are from PBE.

Output
Energy relative to the lowest polymorph listed for this composition (eV/atom): 0.087
Crystal system: cubic
DFT formation energy (eV per atom): 0.051
Spin magnetization (Bohr magnetons per cell): 1.2
DOS(E_F) (states/eV per atom): 1.15
Space group: F-43m

Cell lengths 4.6219, 4.6219, 4.6219 Å; angles 60.00, 60.00, 60.00 degrees
Last column: nearest neighbours and their distance in Å.
Sites, in units of the cell vectors:
Co (0.0000, 0.0000, 0.0000)  12 Ni 2.71, 4 W 2.83
Ni (0.1241, 0.6253, 0.6253)  6 Ni 2.31-2.32
Ni (0.6253, 0.1241, 0.6253)  6 Ni 2.31-2.32
Ni (0.6253, 0.6253, 0.1241)  6 Ni 2.31-2.32
Ni (0.6253, 0.6253, 0.6253)  6 Ni 2.31-2.32
W (0.2500, 0.2500, 0.2500)  12 Ni 2.71, 4 Co 2.83

Record 4
Here is a geometry-optimized CoNi4W structure from Alexandria. Energies are from PBE.

Output
Energy relative to the lowest polymorph listed for this composition (eV/atom): 0.000
Crystal system: monoclinic
DFT formation energy (eV per atom): -0.036
Spin magnetization (Bohr magnetons per cell): 2.4
DOS(E_F) (states/eV per atom): 1.00
Space group: C2/m

Cell lengths 4.3911, 4.3911, 4.4251 Å; angles 99.83, 99.83, 119.47 degrees
Last column: nearest neighbours and their distance in Å.
Sites, in units of the cell vectors:
Co (0.0000, 0.0000, 0.0000)  10 Ni 2.52-2.56, 2 W 2.55
Ni (0.1652, 0.8348, 0.5000)  7 Ni 2.51-2.56, 3 W 2.54, 2 Co 2.54
Ni (0.3316, 0.6684, 0.0000)  3 Co 2.52-2.56, 7 Ni 2.54-2.55, 2 W 2.55
Ni (0.6684, 0.3316, 0.0000)  3 Co 2.52-2.56, 7 Ni 2.54-2.55, 2 W 2.55
Ni (0.8348, 0.1652, 0.5000)  7 Ni 2.51-2.56, 3 W 2.54, 2 Co 2.54
W (0.5000, 0.5000, 0.5000)  10 Ni 2.54-2.55, 2 Co 2.55